Below is a relaxed La5Zn3 crystal, with properties calculated at the PBE level. Values from VASP.

Spin magnetization, μB per formula unit: 0.0
E above lowest polymorph, meV/atom: 51.6
Symmetry: No. 12
Calculated density, Mg/m³: 6.443
Uncorrected energy, eV per atom: -3.74

Cell and atoms, written as Quantum ESPRESSO input:
```
&SYSTEM
  ibrav = 0, nat = 16, ntyp = 2
/
ATOMIC_SPECIES
La 138.91 La.upf
Zn 65.41 Zn.upf
CELL_PARAMETERS angstrom
9.281 -0.014 -0.003
-7.374 5.635 -0.003
-0.956 -2.818 8.801
ATOMIC_POSITIONS angstrom
La 2.040 2.435 6.073
La 2.572 -0.883 7.647
Zn 1.476 -0.506 4.399
La -3.693 2.814 4.399
Zn 5.114 1.399 1.562
La 2.041 2.436 2.720
Zn 0.469 1.397 8.797
Zn -0.535 3.309 4.396
La 4.634 -0.011 4.397
Zn -4.170 1.403 7.234
La -1.098 0.368 2.723
La 5.743 -1.958 7.646
Zn -0.483 -1.413 8.800
La -1.099 0.366 6.075
La -1.628 3.685 1.150
La -4.800 4.760 1.149
```